1.
Density functional theory data (GGA-PBE) for a relaxed structure of PtNOF2.

Properties
E_tot   -4.1270 eV/atom
Excess energy over the best structure of this formula in the dataset   0.0000 eV/atom
Size of the total moment   2.34 μB per formula unit
Formation energy from raw total energies   0.486 eV/atom
Symmetry   No. 123

abc: 4.2867 4.2867 3.7019
angles: 90.00 90.00 90.00
Last column: nearest neighbours and their distance in Å.
Fractional positions:
O (0.5000, 0.5000, 0.5000)  8 F 2.83, 4 N 3.03
F (0.5000, 0.0000, 0.0000)  2 Pt 2.14
F (0.0000, 0.5000, 0.0000)  2 Pt 2.14
Pt (0.0000, 0.0000, 0.0000)  2 N 1.85
N (0.0000, 0.0000, 0.5000)  2 Pt 1.85

***

2.
Density functional theory data (GGA-PBE) for a relaxed structure of PtNOF2.

Properties
E_tot   -3.5518 eV/atom
Excess energy over the best structure of this formula in the dataset   0.5752 eV/atom
Size of the total moment   0.00 μB per formula unit
Formation energy from raw total energies   1.062 eV/atom
Symmetry   No. 123

abc: 3.2858 3.2858 5.5567
angles: 90.00 90.00 90.00
Last column: nearest neighbours and their distance in Å.
Fractional positions:
Pt (0.5000, 0.5000, 0.5000)  4 O 2.32
F (0.0000, 0.5000, 0.0000)  2 N 1.64
F (0.5000, 0.0000, 0.0000)  2 N 1.64
O (0.0000, 0.0000, 0.5000)  4 Pt 2.32
N (0.0000, 0.0000, 0.0000)  4 F 1.64

***

3.
Density functional theory data (GGA-PBE) for a relaxed structure of PtNOF2.

Properties
E_tot   -3.8505 eV/atom
Excess energy over the best structure of this formula in the dataset   0.2765 eV/atom
Size of the total moment   0.30 μB per formula unit
Formation energy from raw total energies   0.763 eV/atom
Symmetry   No. 123

abc: 3.5191 4.1655 3.5191
angles: 90.00 90.00 90.00
Last column: nearest neighbours and their distance in Å.
Fractional positions:
Pt (0.0000, 0.5000, 0.0000)  2 N 2.08
N (0.0000, 0.0000, 0.0000)  4 F 1.76
F (0.0000, 0.0000, 0.5000)  2 N 1.76
F (0.5000, 0.0000, 0.0000)  2 N 1.76
O (0.5000, 0.5000, 0.5000)  4 Pt 2.49, 8 F 2.73

***

4.
Density functional theory data (GGA-PBE) for a relaxed structure of ReNO2F.

Properties
E_tot   -7.0146 eV/atom
Size of the total moment   1.19 μB per formula unit
Formation energy from raw total energies   -0.502 eV/atom
Symmetry   No. 123

abc: 3.7685 3.7685 3.9431
angles: 90.00 90.00 90.00
Last column: nearest neighbours and their distance in Å.
Fractional positions:
O (0.0000, 0.5000, 0.0000)  2 Re 1.88
O (0.5000, 0.0000, 0.0000)  2 Re 1.88
Re (0.0000, 0.0000, 0.0000)  4 O 1.88, 2 N 1.97
N (0.0000, 0.0000, 0.5000)  2 Re 1.97
F (0.5000, 0.5000, 0.5000)  4 N 2.66, 8 O 2.73

***

5.
Density functional theory data (GGA-PBE) for a relaxed structure of ReNO2F.

Properties
E_tot   -4.6180 eV/atom
Size of the total moment   0.00 μB per formula unit
Formation energy from raw total energies   1.894 eV/atom
Symmetry   No. 123

abc: 3.6181 3.6181 3.5534
angles: 90.00 90.00 90.00
Last column: nearest neighbours and their distance in Å.
Fractional positions:
F (0.0000, 0.0000, 0.0000)  2 N 1.78, 4 O 1.81
O (0.0000, 0.5000, 0.0000)  2 F 1.81
O (0.5000, 0.0000, 0.0000)  2 F 1.81
N (0.0000, 0.0000, 0.5000)  2 F 1.78
Re (0.5000, 0.5000, 0.5000)  8 O 2.54, 4 N 2.56

***

6.
Density functional theory data (GGA-PBE) for a relaxed structure of ReNO2F.

Properties
E_tot   -5.1081 eV/atom
Size of the total moment   4.03 μB per formula unit
Formation energy from raw total energies   1.404 eV/atom
Symmetry   No. 123

abc: 3.7934 3.7934 3.4754
angles: 90.00 90.00 90.00
Last column: nearest neighbours and their distance in Å.
Fractional positions:
O (0.5000, 0.0000, 0.0000)  2 N 1.90
O (0.0000, 0.5000, 0.0000)  2 N 1.90
F (0.0000, 0.0000, 0.5000)  2 N 1.74
N (0.0000, 0.0000, 0.0000)  2 F 1.74, 4 O 1.90
Re (0.5000, 0.5000, 0.5000)  8 O 2.57, 4 F 2.68

***

7.
Density functional theory data (GGA-PBE) for a relaxed structure of RhNO2F.

Properties
E_tot   -3.5829 eV/atom
Size of the total moment   0.34 μB per formula unit
Formation energy from raw total energies   1.910 eV/atom
Symmetry   No. 123

abc: 3.7394 3.7394 3.5275
angles: 90.00 90.00 90.00
Last column: nearest neighbours and their distance in Å.
Fractional positions:
Rh (0.5000, 0.5000, 0.5000)  8 O 2.57, 4 N 2.64
F (0.0000, 0.0000, 0.0000)  2 N 1.76, 4 O 1.87
O (0.0000, 0.5000, 0.0000)  2 F 1.87
O (0.5000, 0.0000, 0.0000)  2 F 1.87
N (0.0000, 0.0000, 0.5000)  2 F 1.76

***

8.
Density functional theory data (GGA-PBE) for a relaxed structure of RhNO2F.

Properties
E_tot   -4.2701 eV/atom
Size of the total moment   3.36 μB per formula unit
Formation energy from raw total energies   1.223 eV/atom
Symmetry   No. 123

abc: 3.6771 3.6771 3.6391
angles: 90.00 90.00 90.00
Last column: nearest neighbours and their distance in Å.
Fractional positions:
Rh (0.5000, 0.5000, 0.5000)  8 O 2.59, 4 F 2.60
O (0.5000, 0.0000, 0.0000)  2 N 1.84
O (0.0000, 0.5000, 0.0000)  2 N 1.84
F (0.0000, 0.0000, 0.5000)  2 N 1.82
N (0.0000, 0.0000, 0.0000)  2 F 1.82, 4 O 1.84